# 1
La2NiAg | GGA-PBE | optimized geometry

Lattice parameters (Å, degrees): 4.995 4.995 4.995 60.00 60.00 60.00
Fractional coordinates of all 4 atoms:
La: 0.000 0.000 0.000
La: 0.250 0.250 0.250
Ni: 0.750 0.750 0.750
Ag: 0.500 0.500 0.500

# 2
La5Ni2Ag | GGA-PBE | optimized geometry

Lattice parameters (Å, degrees): 8.912 8.912 8.912 126.45 126.45 79.15
Fractional coordinates of all 16 atoms:
La: 0.000 0.000 0.000
La: 0.023 0.523 0.819
La: 0.204 0.023 0.500
La: 0.296 0.796 0.819
La: 0.477 0.296 0.500
La: 0.500 0.500 0.000
La: 0.523 0.704 0.500
La: 0.704 0.204 0.181
La: 0.796 0.977 0.500
La: 0.977 0.477 0.181
Ni: 0.123 0.377 0.500
Ni: 0.377 0.877 0.254
Ni: 0.623 0.123 0.746
Ni: 0.877 0.623 0.500
Ag: 0.250 0.250 0.000
Ag: 0.750 0.750 0.000

# 3
LaNi2Ag | GGA-PBE | optimized geometry

Lattice parameters (Å, degrees): 4.406 4.406 3.688 90.00 90.00 90.00
Fractional coordinates of all 4 atoms:
La: 0.000 0.000 0.000
Ni: 0.000 0.500 0.500
Ni: 0.500 0.000 0.500
Ag: 0.500 0.500 0.000

# 4
LaNiAg | GGA-PBE | optimized geometry

Lattice parameters (Å, degrees): 5.668 5.668 5.668 143.50 143.50 52.58
Fractional coordinates of all 3 atoms:
La: 0.000 0.000 0.000
Ni: 0.660 0.660 0.000
Ag: 0.293 0.293 0.000

energy relative to the lowest polymorph listed for this composition	226	meV/atom

# 5
La2Ni2Ag | GGA-PBE | optimized geometry

Lattice parameters (Å, degrees): 7.557 7.557 3.865 90.00 90.00 90.00
Fractional coordinates of all 10 atoms:
La: 0.177 0.323 0.000
La: 0.323 0.823 0.000
La: 0.677 0.177 0.000
La: 0.823 0.677 0.000
Ni: 0.118 0.618 0.500
Ni: 0.382 0.118 0.500
Ni: 0.618 0.882 0.500
Ni: 0.882 0.382 0.500
Ag: 0.000 0.000 0.500
Ag: 0.500 0.500 0.500

energy relative to the lowest polymorph listed for this composition	18	meV/atom

# 6
La2NiAg | GGA-PBE | optimized geometry

Lattice parameters (Å, degrees): 4.084 4.084 8.118 104.48 104.48 59.86
Fractional coordinates of all 4 atoms:
La: 0.237 0.237 0.211
La: 0.763 0.763 0.789
Ni: 0.500 0.500 0.000
Ag: 0.000 0.000 0.500

Number 1: energy of formation from the pure elements -0.11 eV per atom, M_tot 0.00 μB/f.u., electronic total energy -4.73 eV per atom. Number 2: energy of formation from the pure elements -0.22 eV per atom, M_tot 0.00 μB/f.u., electronic total energy -5.11 eV per atom. Number 3: energy of formation from the pure elements -0.02 eV per atom, M_tot 0.00 μB/f.u., electronic total energy -4.86 eV per atom. Number 4: energy of formation from the pure elements -0.09 eV per atom, M_tot 0.00 μB/f.u., electronic total energy -4.61 eV per atom. Number 5: energy of formation from the pure elements -0.33 eV per atom, M_tot 0.00 μB/f.u., electronic total energy -5.18 eV per atom. Number 6: energy of formation from the pure elements -0.20 eV per atom, M_tot 0.00 μB/f.u., electronic total energy -4.82 eV per atom.